SrAlO3: relaxed, PBE.

The calculation puts the magnetization at 1.0 μB per formula unit. As for the uncorrected formation energy: -10.90 eV per formula unit.

Cell: 3.0660 6.2165 6.2165 Å, 121.96 90.00 90.00°
With the nearest neighbours (Å) after each atom.
Element x y z (fractional)
Sr (0.5000, 0.0882, 0.9118)  4 O 2.24-2.45
Al (0.0000, 0.3985, 0.6015)  1 O 1.73
O (0.5000, 0.6281, 0.7257)  2 Al 1.95, 1 O 2.13
O (0.5000, 0.2743, 0.3719)  2 Al 1.95, 1 O 2.13
O (0.0000, 0.2390, 0.7610)  1 Al 1.73